This record from Alexandria describes an optimized crystal structure of Dy7In2Ga2. The functional is GGA-PBE.

```
11
Lattice="0.0973 2.2435 -6.4518 7.1096 -1.8317 -0.5298 -1.7026 -6.6158 0.0257" Properties=species:S:1:pos:R:3 pbc="T T T"
Dy 1.1014 -3.8110 -0.1327
Dy 5.2055 -0.2069 -3.6102
Dy 4.4029 -2.3931 -6.8232
Dy 0.2987 -5.9972 -3.3457
Dy 0.0000 0.0000 0.0000
Dy 4.5505 -3.5654 -3.6120
Dy 0.9537 -2.6387 -3.3440
In 2.2356 -4.5089 -5.5456
In 3.2687 -1.6952 -1.4103
Ga -0.4229 -0.3167 -4.5799
Ga 5.9271 -5.8873 -2.3760
```

Output
Space-group type   Cmmm, No. 65
Crystal system   orthorhombic
Formation energy from the elements   -190 meV per atom
Spin magnetization   0.0 μB per formula unit
E   -0.306 Ry/atom